# BeRe2Si, single point on PBEsol structure, DFT meta-GGA SCAN
data_BeRe2Si
_space_group_name_H-M_alt 'P 1'
_space_group_IT_number 1
_cell_length_a 2.945
_cell_length_b 2.945
_cell_length_c 5.629
_cell_angle_alpha 90.00
_cell_angle_beta 90.00
_cell_angle_gamma 90.00
loop_
_space_group_symop_operation_xyz
'x,y,z'
loop_
_atom_site_label
_atom_site_type_symbol
_atom_site_fract_x
_atom_site_fract_y
_atom_site_fract_z
Re1 Re 0.000 0.000 0.967
Si1 Si 0.000 0.000 0.524
Re2 Re 0.500 0.500 0.267
Be1 Be 0.500 0.500 0.742
# density of states at the Fermi level	0.76	states/eV/cell
# total magnetic moment	0.0	μB per formula unit
# ΔE_f (raw)	-0.340	eV per atom
# electronic total energy	-39.481	eV/atom

# CaTi2AuCl, single point on PBEsol structure, DFT meta-GGA SCAN
data_CaTi2AuCl
_space_group_name_H-M_alt 'P 1'
_space_group_IT_number 1
_cell_length_a 4.428
_cell_length_b 4.428
_cell_length_c 5.486
_cell_angle_alpha 90.00
_cell_angle_beta 90.00
_cell_angle_gamma 90.00
loop_
_space_group_symop_operation_xyz
'x,y,z'
loop_
_atom_site_label
_atom_site_type_symbol
_atom_site_fract_x
_atom_site_fract_y
_atom_site_fract_z
Ti1 Ti 0.000 0.500 0.000
Ti2 Ti 0.500 0.000 0.000
Ca1 Ca 0.500 0.500 0.500
Cl1 Cl 0.000 0.000 0.000
Au1 Au 0.000 0.000 0.500
# density of states at the Fermi level	3.98	states/eV/cell
# total magnetic moment	0.0	μB per formula unit
# ΔE_f (raw)	0.059	eV per atom
# electronic total energy	-23.712	eV/atom

# Li2VP5O15, single point on PBEsol structure, DFT meta-GGA SCAN
data_Li2VP5O15
_space_group_name_H-M_alt 'P 1'
_space_group_IT_number 1
_cell_length_a 5.190
_cell_length_b 9.494
_cell_length_c 13.033
_cell_angle_alpha 90.00
_cell_angle_beta 90.00
_cell_angle_gamma 96.09
loop_
_space_group_symop_operation_xyz
'x,y,z'
loop_
_atom_site_label
_atom_site_type_symbol
_atom_site_fract_x
_atom_site_fract_y
_atom_site_fract_z
P1 P 0.307 0.797 0.068
O1 O 0.822 0.085 0.520
V1 V 0.500 0.500 0.000
O2 O 0.509 0.856 0.346
O3 O 0.909 0.299 0.634
O4 O 0.708 0.517 0.127
Li1 Li 0.018 0.959 0.623
O5 O 0.838 0.549 0.571
O6 O 0.178 0.915 0.480
O7 O 0.491 0.144 0.654
O8 O 0.838 0.549 0.929
Li2 Li 0.982 0.041 0.123
Li3 Li 0.018 0.959 0.877
O9 O 0.509 0.856 0.154
O10 O 0.549 0.296 0.000
O11 O 0.929 0.507 0.750
O12 O 0.738 0.058 0.250
O13 O 0.708 0.517 0.373
O14 O 0.451 0.704 0.500
P2 P 0.307 0.797 0.432
P3 P 0.998 0.536 0.363
P4 P 0.693 0.203 0.568
Li4 Li 0.982 0.041 0.377
P5 P 0.693 0.203 0.932
O15 O 0.549 0.296 0.500
O16 O 0.909 0.299 0.866
P6 P 0.002 0.464 0.863
P7 P 0.998 0.536 0.137
O17 O 0.262 0.942 0.750
O18 O 0.229 0.019 0.250
O19 O 0.091 0.701 0.134
O20 O 0.771 0.981 0.750
V2 V 0.500 0.500 0.500
O21 O 0.822 0.085 0.980
O22 O 0.451 0.704 0.000
O23 O 0.162 0.451 0.071
O24 O 0.292 0.483 0.873
O25 O 0.491 0.144 0.846
O26 O 0.162 0.451 0.429
P8 P 0.489 0.964 0.250
P9 P 0.511 0.036 0.750
O27 O 0.091 0.701 0.366
O28 O 0.292 0.483 0.627
O29 O 0.178 0.915 0.020
O30 O 0.071 0.493 0.250
P10 P 0.002 0.464 0.637
# total magnetic moment	2.0	μB per formula unit
# ΔE_f (raw)	-2.462	eV per atom
# electronic total energy	-9.754	eV/atom

# Ho2NiB4O10, single point on PBEsol structure, DFT meta-GGA SCAN
data_Ho2NiB4O10
_space_group_name_H-M_alt 'P 1'
_space_group_IT_number 1
_cell_length_a 4.494
_cell_length_b 7.178
_cell_length_c 9.306
_cell_angle_alpha 90.00
_cell_angle_beta 91.34
_cell_angle_gamma 90.00
loop_
_space_group_symop_operation_xyz
'x,y,z'
loop_
_atom_site_label
_atom_site_type_symbol
_atom_site_fract_x
_atom_site_fract_y
_atom_site_fract_z
O1 O 0.321 0.407 0.642
O2 O 0.330 0.707 0.537
B1 B 0.528 0.766 0.415
O3 O 0.675 0.170 0.705
B2 B 0.472 0.234 0.585
O4 O 0.325 0.830 0.295
Ho1 Ho 0.996 0.398 0.834
O5 O 0.670 0.207 0.963
Ni1 Ni 0.000 0.500 0.500
O6 O 0.251 0.105 0.538
B3 B 0.537 0.096 0.839
Ho2 Ho 0.004 0.602 0.166
B4 B 0.537 0.404 0.339
O7 O 0.325 0.670 0.795
B5 B 0.463 0.904 0.161
O8 O 0.670 0.293 0.463
O9 O 0.251 0.395 0.038
B6 B 0.463 0.596 0.661
Ho3 Ho 0.996 0.102 0.334
B7 B 0.528 0.734 0.915
O10 O 0.749 0.895 0.462
O11 O 0.321 0.093 0.142
O12 O 0.675 0.330 0.205
O13 O 0.679 0.593 0.358
B8 B 0.472 0.266 0.085
Ni2 Ni 0.000 0.000 0.000
O14 O 0.778 0.596 0.667
O15 O 0.679 0.907 0.858
O16 O 0.330 0.793 0.037
O17 O 0.222 0.096 0.833
Ho4 Ho 0.004 0.898 0.666
O18 O 0.222 0.404 0.333
O19 O 0.778 0.904 0.167
O20 O 0.749 0.605 0.962
# density of states at the Fermi level	0.00	states/eV/cell
# total magnetic moment	2.0	μB per formula unit
# ΔE_f (raw)	-2.983	eV per atom
# electronic total energy	-15.111	eV/atom

# Sr4TlBr, single point on PBEsol structure, DFT meta-GGA SCAN
data_Sr4TlBr
_space_group_name_H-M_alt 'P 1'
_space_group_IT_number 1
_cell_length_a 7.164
_cell_length_b 7.164
_cell_length_c 7.164
_cell_angle_alpha 60.00
_cell_angle_beta 60.00
_cell_angle_gamma 60.00
loop_
_space_group_symop_operation_xyz
'x,y,z'
loop_
_atom_site_label
_atom_site_type_symbol
_atom_site_fract_x
_atom_site_fract_y
_atom_site_fract_z
Br1 Br 0.000 0.000 0.000
Sr1 Sr 0.376 0.873 0.376
Sr2 Sr 0.376 0.376 0.873
Tl1 Tl 0.750 0.750 0.750
Sr3 Sr 0.873 0.376 0.376
Sr4 Sr 0.376 0.376 0.376
# density of states at the Fermi level	3.99	states/eV/cell
# total magnetic moment	0.0	μB per formula unit
# ΔE_f (raw)	0.056	eV per atom
# electronic total energy	-30.097	eV/atom

# Cr13Mo3, single point on PBEsol structure, DFT meta-GGA SCAN
data_Cr13Mo3
_space_group_name_H-M_alt 'P 1'
_space_group_IT_number 1
_cell_length_a 5.763
_cell_length_b 5.768
_cell_length_c 5.763
_cell_angle_alpha 90.00
_cell_angle_beta 89.77
_cell_angle_gamma 90.00
loop_
_space_group_symop_operation_xyz
'x,y,z'
loop_
_atom_site_label
_atom_site_type_symbol
_atom_site_fract_x
_atom_site_fract_y
_atom_site_fract_z
Mo1 Mo 0.004 0.748 0.004
Mo2 Mo 0.004 0.252 0.004
Cr1 Cr 0.497 0.253 0.497
Cr2 Cr 0.003 0.253 0.498
Cr3 Cr 0.256 0.500 0.743
Cr4 Cr 0.256 0.000 0.256
Cr5 Cr 0.498 0.747 0.003
Cr6 Cr 0.497 0.747 0.497
Cr7 Cr 0.498 0.253 0.003
Cr8 Cr 0.744 0.500 0.744
Cr9 Cr 0.003 0.747 0.498
Cr10 Cr 0.254 0.000 0.743
Cr11 Cr 0.256 0.500 0.256
Cr12 Cr 0.743 0.000 0.254
Cr13 Cr 0.743 0.500 0.256
Mo3 Mo 0.743 0.000 0.743
# density of states at the Fermi level	4.21	states/eV/cell
# total magnetic moment	0.2	μB per formula unit
# electronic total energy	-21.526	eV/atom

# TaAl2Tc, single point on PBEsol structure, DFT meta-GGA SCAN
data_TaAl2Tc
_space_group_name_H-M_alt 'P 1'
_space_group_IT_number 1
_cell_length_a 2.853
_cell_length_b 2.853
_cell_length_c 9.128
_cell_angle_alpha 81.01
_cell_angle_beta 81.01
_cell_angle_gamma 60.00
loop_
_space_group_symop_operation_xyz
'x,y,z'
loop_
_atom_site_label
_atom_site_type_symbol
_atom_site_fract_x
_atom_site_fract_y
_atom_site_fract_z
Tc1 Tc 0.253 0.253 0.242
Al1 Al 0.995 0.995 0.015
Al2 Al 0.750 0.750 0.750
Ta1 Ta 0.502 0.502 0.493
# density of states at the Fermi level	4.34	states/eV/cell
# total magnetic moment	0.0	μB per formula unit
# ΔE to the lowest computed polymorph	1.62	eV per formula unit
# electronic total energy	-29.345	eV/atom

# OsRuW, single point on PBEsol structure, DFT meta-GGA SCAN
data_OsRuW
_space_group_name_H-M_alt 'P 1'
_space_group_IT_number 1
_cell_length_a 2.718
_cell_length_b 3.847
_cell_length_c 4.748
_cell_angle_alpha 113.90
_cell_angle_beta 106.63
_cell_angle_gamma 90.00
loop_
_space_group_symop_operation_xyz
'x,y,z'
loop_
_atom_site_label
_atom_site_type_symbol
_atom_site_fract_x
_atom_site_fract_y
_atom_site_fract_z
Ru1 Ru 0.336 0.336 0.671
Os1 Os 0.998 0.998 0.996
W1 W 0.666 0.666 0.333
# density of states at the Fermi level	3.23	states/eV/cell
# total magnetic moment	0.0	μB per formula unit
# electronic total energy	-58.685	eV/atom

# La4CdCo, single point on PBEsol structure, DFT meta-GGA SCAN
data_La4CdCo
_space_group_name_H-M_alt 'P 1'
_space_group_IT_number 1
_cell_length_a 9.758
_cell_length_b 9.758
_cell_length_c 9.758
_cell_angle_alpha 60.00
_cell_angle_beta 60.00
_cell_angle_gamma 60.00
loop_
_space_group_symop_operation_xyz
'x,y,z'
loop_
_atom_site_label
_atom_site_type_symbol
_atom_site_fract_x
_atom_site_fract_y
_atom_site_fract_z
La1 La 0.346 0.346 0.346
La2 La 0.558 0.942 0.558
La3 La 0.942 0.558 0.558
La4 La 0.963 0.346 0.346
La5 La 0.810 0.190 0.810
La6 La 0.190 0.810 0.810
La7 La 0.558 0.942 0.942
La8 La 0.190 0.190 0.810
La9 La 0.558 0.558 0.942
Cd1 Cd 0.578 0.578 0.578
Cd2 Cd 0.265 0.578 0.578
Cd3 Cd 0.578 0.265 0.578
La10 La 0.346 0.346 0.963
La11 La 0.190 0.810 0.190
Cd4 Cd 0.578 0.578 0.265
La12 La 0.346 0.963 0.346
Co1 Co 0.140 0.140 0.580
La13 La 0.942 0.558 0.942
Co2 Co 0.140 0.140 0.140
La14 La 0.942 0.942 0.558
La15 La 0.810 0.810 0.190
Co3 Co 0.140 0.580 0.140
La16 La 0.810 0.190 0.190
Co4 Co 0.580 0.140 0.140
# density of states at the Fermi level	19.41	states/eV/cell
# total magnetic moment	0.0	μB per formula unit
# electronic total energy	-36.887	eV/atom